(1)
Density functional theory data (PBE-GGA) for an optimized crystal structure of Nb2FeTc.

Values from the calculation:
M_tot, Bohr magnetons per cell: 6.58
Total DFT energy (no corrections), eV per atom: -9.2545

abc: 6.972 6.972 5.441
angles: 90.00 90.00 90.00
Space group I-42d (No. 122)
Asymmetric unit:
Nb 0.240 0.250 0.125 (multiplicity 8)
Fe 0.000 0.000 0.000 (multiplicity 4)
Tc 0.000 0.000 0.500 (multiplicity 4)



(2)
Density functional theory data (PBE-GGA) for an optimized crystal structure of Nb2FeTc2.

Values from the calculation:
M_tot, Bohr magnetons per cell: 0.44
Total DFT energy (no corrections), eV per atom: -8.8767
Energy above the most stable polymorph in this dataset, eV/atom: 0.7524

abc: 4.174 4.174 10.723
angles: 90.00 90.00 90.00
Space group I4/mmm (No. 139)
Asymmetric unit:
Nb 0.000 0.500 0.250 (multiplicity 4)
Fe 0.000 0.000 0.000 (multiplicity 2)
Tc 0.000 0.000 0.389 (multiplicity 4)



(3)
Density functional theory data (PBE-GGA) for an optimized crystal structure of Nb2FeTc2.

Values from the calculation:
M_tot, Bohr magnetons per cell: 0.00
Total DFT energy (no corrections), eV per atom: -9.6291
Energy above the most stable polymorph in this dataset, eV/atom: 0.0000

abc: 6.228 6.228 4.173
angles: 90.00 90.00 90.00
Space group P4/mbm (No. 127)
Asymmetric unit:
Nb 0.182 0.318 0.000 (multiplicity 4)
Fe 0.000 0.000 0.500 (multiplicity 2)
Tc 0.142 0.642 0.500 (multiplicity 4)



(4)
Density functional theory data (PBE-GGA) for an optimized crystal structure of NbFeTc2.

Values from the calculation:
M_tot, Bohr magnetons per cell: 0.00
Total DFT energy (no corrections), eV per atom: -9.4140

abc: 2.773 4.202 10.693
angles: 90.00 90.00 90.00
Space group Immm (No. 71)
Asymmetric unit:
Nb 0.000 0.000 0.000 (multiplicity 2)
Fe 0.000 0.000 0.500 (multiplicity 2)
Tc 0.000 0.000 0.289 (multiplicity 4)



(5)
Density functional theory data (PBE-GGA) for an optimized crystal structure of NbFe4Tc.

Values from the calculation:
M_tot, Bohr magnetons per cell: 25.35
Total DFT energy (no corrections), eV per atom: -9.1016

abc: 6.722 6.722 6.722
angles: 90.00 90.00 90.00
Space group F-43m (No. 216)
Asymmetric unit:
Nb 0.000 0.000 0.000 (multiplicity 4)
Fe 0.125 0.125 0.625 (multiplicity 16)
Tc 0.250 0.250 0.250 (multiplicity 4)



(6)
Density functional theory data (PBE-GGA) for an optimized crystal structure of NbFeTc2.

Values from the calculation:
M_tot, Bohr magnetons per cell: 0.00
Total DFT energy (no corrections), eV per atom: -9.2601

abc: 7.030 7.030 5.033
angles: 90.00 90.00 90.00
Space group I-42d (No. 122)
Asymmetric unit:
Nb 0.000 0.000 0.000 (multiplicity 4)
Fe 0.000 0.000 0.500 (multiplicity 4)
Tc 0.205 0.250 0.625 (multiplicity 8)



(7)
Density functional theory data (PBE-GGA) for an optimized crystal structure of NbFeTc2.

Values from the calculation:
M_tot, Bohr magnetons per cell: 3.11
Total DFT energy (no corrections), eV per atom: -9.8300

abc: 3.147 3.147 6.024
angles: 90.00 90.00 90.00
Space group P4/mmm (No. 123)
Asymmetric unit:
Nb 0.000 0.000 0.000 (multiplicity 1)
Fe 0.000 0.000 0.500 (multiplicity 1)
Tc 0.500 0.500 0.266 (multiplicity 2)



(8)
Density functional theory data (PBE-GGA) for an optimized crystal structure of Nb6FeTc.

Values from the calculation:
M_tot, Bohr magnetons per cell: 1.52
Total DFT energy (no corrections), eV per atom: -10.0084

abc: 4.558 4.558 13.042
angles: 90.00 90.00 90.00
Space group I4/mmm (No. 139)
Asymmetric unit:
Nb 0.000 0.000 0.250 (multiplicity 4)
Nb 0.000 0.500 0.119 (multiplicity 8)
Fe 0.000 0.000 0.000 (multiplicity 2)
Tc 0.000 0.000 0.500 (multiplicity 2)